A plane-wave DFT calculation with PBE-GGA was carried out for an optimized crystal structure of AcPrCo.

Symmetry: C2/m, No. 12
E (eV/atom): -5.330
Spin magnetization (μB per cell): 0.00

```
12
Lattice="12.356 0.000 0.000 0.000 3.933 0.000 -5.769 0.000 7.307" Properties=species:S:1:pos:R:3 pbc="T T T"
Ac 1.688 0.000 0.894
Ac -1.279 1.967 6.414
Ac 7.866 1.967 0.894
Ac 4.899 0.000 6.414
Pr -1.193 1.967 2.684
Pr 1.602 0.000 4.624
Pr 4.985 0.000 2.684
Pr 7.780 1.967 4.624
Co -2.021 0.000 4.456
Co 2.430 1.967 2.852
Co 4.157 1.967 4.456
Co 8.608 0.000 2.852
```